Run i
# Tl3PtAu, relaxed, DFT PBE
# Symmetry   P2_1/m
data_Tl3PtAu
_space_group_name_H-M_alt 'P 1'
_space_group_IT_number 1
_space_group_name_Hall 'P 1'
_cell_length_a 3.7668
_cell_length_b 7.1333
_cell_length_c 10.2359
_cell_angle_alpha 70.07
_cell_angle_beta 90.00
_cell_angle_gamma 90.00
loop_
_atom_site_label
_atom_site_fract_x
_atom_site_fract_y
_atom_site_fract_z
_atom_site_occupancy
Tl1 0.2500 0.7461 0.5612 1
Tl2 0.2500 0.2450 0.7703 1
Tl3 0.2500 0.7118 0.9340 1
Tl4 0.7500 0.2539 0.4388 1
Tl5 0.7500 0.2882 0.0660 1
Tl6 0.7500 0.7550 0.2297 1
Pt1 0.7500 0.5392 0.7783 1
Pt2 0.2500 0.4608 0.2217 1
Au1 0.2500 0.0363 0.2857 1
Au2 0.7500 0.9637 0.7143 1

---

Run ii
# Tl3PtAu, relaxed, DFT PBE
# Symmetry   Pm-3m
data_Tl3PtAu
_space_group_name_H-M_alt 'P 1'
_space_group_IT_number 1
_space_group_name_Hall 'P 1'
_cell_length_a 5.3447
_cell_length_b 5.3447
_cell_length_c 5.3447
_cell_angle_alpha 90.00
_cell_angle_beta 90.00
_cell_angle_gamma 90.00
loop_
_atom_site_label
_atom_site_fract_x
_atom_site_fract_y
_atom_site_fract_z
_atom_site_occupancy
Tl1 0.0000 0.5000 0.0000 1
Tl2 0.0000 0.0000 0.5000 1
Tl3 0.5000 0.0000 0.0000 1
Au1 0.5000 0.5000 0.5000 1
Pt1 0.0000 0.0000 0.0000 1

---

The winner here is run i, beating the second structure by 88 meV per atom.

---

Run i
# Tm4Pt7Au, relaxed, DFT PBE
# Symmetry   C2/m
data_Tm4Pt7Au
_space_group_name_H-M_alt 'P 1'
_space_group_IT_number 1
_space_group_name_Hall 'P 1'
_cell_length_a 5.1983
_cell_length_b 9.2847
_cell_length_c 5.9309
_cell_angle_alpha 81.53
_cell_angle_beta 64.01
_cell_angle_gamma 73.74
loop_
_atom_site_label
_atom_site_fract_x
_atom_site_fract_y
_atom_site_fract_z
_atom_site_occupancy
Tm1 0.5955 0.2135 0.5955 1
Tm2 0.4045 0.7865 0.4045 1
Tm3 0.7859 0.6372 0.7910 1
Tm4 0.2141 0.3628 0.2090 1
Pt1 0.7895 0.9035 0.5175 1
Pt2 0.2105 0.0965 0.4825 1
Pt3 0.0746 0.6886 0.1622 1
Pt4 0.9254 0.3114 0.8378 1
Pt5 0.3653 0.5275 0.7420 1
Pt6 0.5000 0.0000 0.0000 1
Pt7 0.6347 0.4725 0.2580 1
Au1 0.0000 0.0000 0.0000 1

---

Run ii
# Tm4Pt7Au, relaxed, DFT PBE
# Symmetry   P-1
data_Tm4Pt7Au
_space_group_name_H-M_alt 'P 1'
_space_group_IT_number 1
_space_group_name_Hall 'P 1'
_cell_length_a 5.5310
_cell_length_b 8.1741
_cell_length_c 5.4265
_cell_angle_alpha 100.27
_cell_angle_beta 75.05
_cell_angle_gamma 92.87
loop_
_atom_site_label
_atom_site_fract_x
_atom_site_fract_y
_atom_site_fract_z
_atom_site_occupancy
Tm1 0.6537 0.2041 0.4551 1
Tm2 0.3463 0.7959 0.5449 1
Tm3 0.7289 0.6453 0.8779 1
Tm4 0.2711 0.3547 0.1221 1
Pt1 0.8479 0.8669 0.5131 1
Pt2 0.1522 0.1331 0.4869 1
Pt3 0.1851 0.7085 0.0822 1
Pt4 0.8149 0.2915 0.9178 1
Pt5 0.2603 0.4564 0.6616 1
Pt6 0.5000 0.0000 0.0000 1
Pt7 0.7397 0.5436 0.3384 1
Au1 0.0000 0.0000 0.0000 1

---

The winner here is run ii, beating the second structure by 193 meV per atom.

---

Run i
# Tm3PtAu, relaxed, DFT PBE
# Symmetry   Pmmn
data_Tm3PtAu
_space_group_name_H-M_alt 'P 1'
_space_group_IT_number 1
_space_group_name_Hall 'P 1'
_cell_length_a 4.1362
_cell_length_b 7.0346
_cell_length_c 8.7176
_cell_angle_alpha 90.00
_cell_angle_beta 90.00
_cell_angle_gamma 90.00
loop_
_atom_site_label
_atom_site_fract_x
_atom_site_fract_y
_atom_site_fract_z
_atom_site_occupancy
Tm1 0.7500 0.7500 0.0593 1
Tm2 0.2500 0.2500 0.9407 1
Tm3 0.7500 0.9924 0.6714 1
Tm4 0.7500 0.5075 0.6714 1
Tm5 0.2500 0.0076 0.3286 1
Tm6 0.2500 0.4924 0.3286 1
Pt1 0.7500 0.7500 0.4024 1
Pt2 0.2500 0.2500 0.5976 1
Au1 0.7500 0.2500 0.1673 1
Au2 0.2500 0.7500 0.8327 1

---

Run ii
# Tm3PtAu, relaxed, DFT PBE
# Symmetry   Cmcm
data_Tm3PtAu
_space_group_name_H-M_alt 'P 1'
_space_group_IT_number 1
_space_group_name_Hall 'P 1'
_cell_length_a 4.9677
_cell_length_b 4.9665
_cell_length_c 9.9231
_cell_angle_alpha 90.00
_cell_angle_beta 75.50
_cell_angle_gamma 90.00
loop_
_atom_site_label
_atom_site_fract_x
_atom_site_fract_y
_atom_site_fract_z
_atom_site_occupancy
Tm1 0.7527 0.2500 0.1430 1
Tm2 0.3962 0.2500 0.8560 1
Tm3 0.5746 0.2500 0.4991 1
Tm4 0.2522 0.7500 0.1440 1
Tm5 0.8957 0.7500 0.8570 1
Tm6 0.0737 0.7500 0.5009 1
Pt1 0.6659 0.7500 0.3165 1
Pt2 0.9825 0.2500 0.6835 1
Au1 0.4812 0.7500 0.6860 1
Au2 0.1672 0.2500 0.3140 1

---

The winner here is run i, beating the second structure by 11 meV per atom.

---

Run i
# YTmPtAu, relaxed, DFT PBE
# Symmetry   F-43m
data_YTmPtAu
_space_group_name_H-M_alt 'P 1'
_space_group_IT_number 1
_space_group_name_Hall 'P 1'
_cell_length_a 4.9865
_cell_length_b 4.9865
_cell_length_c 4.9865
_cell_angle_alpha 60.00
_cell_angle_beta 60.00
_cell_angle_gamma 60.00
loop_
_atom_site_label
_atom_site_fract_x
_atom_site_fract_y
_atom_site_fract_z
_atom_site_occupancy
Y1 0.5000 0.5000 0.5000 1
Tm1 0.0000 0.0000 0.0000 1
Au1 0.2500 0.2500 0.2500 1
Pt1 0.7500 0.7500 0.7500 1

---

Run ii
# YTmPtAu, relaxed, DFT PBE
# Symmetry   Amm2
data_YTmPtAu
_space_group_name_H-M_alt 'P 1'
_space_group_IT_number 1
_space_group_name_Hall 'P 1'
_cell_length_a 3.7345
_cell_length_b 4.5793
_cell_length_c 5.6481
_cell_angle_alpha 90.00
_cell_angle_beta 109.31
_cell_angle_gamma 90.00
loop_
_atom_site_label
_atom_site_fract_x
_atom_site_fract_y
_atom_site_fract_z
_atom_site_occupancy
Y1 0.1397 0.0000 0.2794 1
Tm1 0.8629 0.5000 0.7258 1
Pt1 0.4105 0.0000 0.8210 1
Au1 0.5869 0.5000 0.1738 1

---

The winner here is run ii, beating the second structure by 44 meV per atom.

---

Run i
# VPt3Au, relaxed, DFT PBE
# Symmetry   Pm-3m
data_VPt3Au
_space_group_name_H-M_alt 'P 1'
_space_group_IT_number 1
_space_group_name_Hall 'P 1'
_cell_length_a 4.9198
_cell_length_b 4.9198
_cell_length_c 4.9198
_cell_angle_alpha 90.00
_cell_angle_beta 90.00
_cell_angle_gamma 90.00
loop_
_atom_site_label
_atom_site_fract_x
_atom_site_fract_y
_atom_site_fract_z
_atom_site_occupancy
Au1 0.0000 0.0000 0.0000 1
Pt1 0.0000 0.5000 0.0000 1
Pt2 0.0000 0.0000 0.5000 1
Pt3 0.5000 0.0000 0.0000 1
V1 0.5000 0.5000 0.5000 1

---

Run ii
# VPt3Au, relaxed, DFT PBE
# Symmetry   Pm-3m
data_VPt3Au
_space_group_name_H-M_alt 'P 1'
_space_group_IT_number 1
_space_group_name_Hall 'P 1'
_cell_length_a 4.6199
_cell_length_b 4.6199
_cell_length_c 4.6199
_cell_angle_alpha 90.00
_cell_angle_beta 90.00
_cell_angle_gamma 90.00
loop_
_atom_site_label
_atom_site_fract_x
_atom_site_fract_y
_atom_site_fract_z
_atom_site_occupancy
Au1 0.5000 0.5000 0.5000 1
Pt1 0.0000 0.5000 0.0000 1
Pt2 0.0000 0.0000 0.5000 1
Pt3 0.5000 0.0000 0.0000 1
V1 0.0000 0.0000 0.0000 1

---

The winner here is run ii, beating the second structure by 708 meV per atom.

---

Run i
# VPtAu, relaxed, DFT PBE
# Symmetry   C2/m
data_VPtAu
_space_group_name_H-M_alt 'P 1'
_space_group_IT_number 1
_space_group_name_Hall 'P 1'
_cell_length_a 2.8275
_cell_length_b 2.8273
_cell_length_c 14.3323
_cell_angle_alpha 101.35
_cell_angle_beta 84.34
_cell_angle_gamma 60.00
loop_
_atom_site_label
_atom_site_fract_x
_atom_site_fract_y
_atom_site_fract_z
_atom_site_occupancy
Pt1 0.7873 0.0164 0.4089 1
Pt2 0.2127 0.9836 0.5911 1
V1 0.3195 0.1014 0.2597 1
V2 0.6805 0.8986 0.7403 1
Au1 0.2047 0.4950 0.0956 1
Au2 0.7953 0.5050 0.9044 1

---

Run ii
# VPtAu, relaxed, DFT PBE
# Symmetry   P3m1
data_VPtAu
_space_group_name_H-M_alt 'P 1'
_space_group_IT_number 1
_space_group_name_Hall 'P 1'
_cell_length_a 2.7756
_cell_length_b 4.4378
_cell_length_c 4.4378
_cell_angle_alpha 120.00
_cell_angle_beta 90.00
_cell_angle_gamma 90.00
loop_
_atom_site_label
_atom_site_fract_x
_atom_site_fract_y
_atom_site_fract_z
_atom_site_occupancy
Au1 0.9988 0.0000 0.0000 1
Pt1 0.5287 0.6667 0.3333 1
V1 0.4725 0.3333 0.6667 1

---

The winner here is run i, beating the second structure by 37 meV per atom.

---

Run i
# PtWAu, relaxed, DFT PBE
# Symmetry   P3m1
data_PtWAu
_space_group_name_H-M_alt 'P 1'
_space_group_IT_number 1
_space_group_name_Hall 'P 1'
_cell_length_a 2.8470
_cell_length_b 2.8470
_cell_length_c 7.0537
_cell_angle_alpha 90.00
_cell_angle_beta 90.00
_cell_angle_gamma 120.00
loop_
_atom_site_label
_atom_site_fract_x
_atom_site_fract_y
_atom_site_fract_z
_atom_site_occupancy
Au1 0.0000 0.0000 0.9959 1
Pt1 0.6667 0.3333 0.3485 1
W1 0.3333 0.6667 0.6556 1

---

Run ii
# PtWAu, relaxed, DFT PBE
# Symmetry   F-43m
data_PtWAu
_space_group_name_H-M_alt 'P 1'
_space_group_IT_number 1
_space_group_name_Hall 'P 1'
_cell_length_a 4.3599
_cell_length_b 4.3599
_cell_length_c 4.3599
_cell_angle_alpha 60.00
_cell_angle_beta 60.00
_cell_angle_gamma 60.00
loop_
_atom_site_label
_atom_site_fract_x
_atom_site_fract_y
_atom_site_fract_z
_atom_site_occupancy
Au1 0.0000 0.0000 0.0000 1
Pt1 0.5000 0.5000 0.5000 1
W1 0.7500 0.7500 0.7500 1

---

The winner here is run i, beating the second structure by 493 meV per atom.

---

Run i
# Pt2WAu, relaxed, DFT PBE
# Symmetry   I-4m2
data_Pt2WAu
_space_group_name_H-M_alt 'P 1'
_space_group_IT_number 1
_space_group_name_Hall 'P 1'
_cell_length_a 4.9871
_cell_length_b 4.9871
_cell_length_c 4.9871
_cell_angle_alpha 133.46
_cell_angle_beta 133.47
_cell_angle_gamma 67.92
loop_
_atom_site_label
_atom_site_fract_x
_atom_site_fract_y
_atom_site_fract_z
_atom_site_occupancy
Au1 0.2500 0.7500 0.5000 1
Pt1 0.0000 0.0000 0.0000 1
Pt2 0.7500 0.2500 0.5000 1
W1 0.5000 0.5000 0.0000 1

---

Run ii
# Pt2WAu, relaxed, DFT PBE
# Symmetry   Fm-3m
data_Pt2WAu
_space_group_name_H-M_alt 'P 1'
_space_group_IT_number 1
_space_group_name_Hall 'P 1'
_cell_length_a 4.5253
_cell_length_b 4.5253
_cell_length_c 4.5253
_cell_angle_alpha 60.00
_cell_angle_beta 60.00
_cell_angle_gamma 60.00
loop_
_atom_site_label
_atom_site_fract_x
_atom_site_fract_y
_atom_site_fract_z
_atom_site_occupancy
Au1 0.5000 0.5000 0.5000 1
W1 0.0000 0.0000 0.0000 1
Pt1 0.2500 0.2500 0.2500 1
Pt2 0.7500 0.7500 0.7500 1

---

The winner here is run i, beating the second structure by 91 meV per atom.